<i>
VASP calculation (PBE-GGA) on a geometry-optimized LiTmOs structure.

abc: 6.3410 6.3410 6.3410
angles: 90.00 90.00 90.00
With the nearest neighbours (Å) after each atom.
Space group F-43m (No. 216)
Unique sites:
1 Li 0.0000 0.0000 0.0000 [4 per cell]  4 Tm 2.75
2 Tm 0.2500 0.2500 0.2500 [4 per cell]  4 Li 2.75, 4 Os 2.75
3 Os 0.0000 0.0000 0.5000 [4 per cell]  4 Tm 2.75

## Properties
For the size of the total moment, the calculation gives 0.0 μB per cell.


<ii>
VASP calculation (PBE-GGA) on a geometry-optimized LiTmOs structure.

abc: 5.9897 5.9897 5.9897
angles: 90.00 90.00 90.00
With the nearest neighbours (Å) after each atom.
Space group F-43m (No. 216)
Unique sites:
1 Li 0.0000 0.0000 0.0000 [4 per cell]  4 Tm 2.59, 4 Os 2.59
2 Tm 0.2500 0.2500 0.2500 [4 per cell]  4 Li 2.59
3 Os 0.2500 0.2500 0.7500 [4 per cell]  4 Li 2.59

## Properties
For the size of the total moment, the calculation gives 0.4 μB per cell.


Tell me which of them is the most stable. Sure, it is <ii>.


<i>
VASP calculation (PBE-GGA) on a geometry-optimized LiPaSb structure.

abc: 7.0942 7.0942 7.0942
angles: 90.00 90.00 90.00
With the nearest neighbours (Å) after each atom.
Space group F-43m (No. 216)
Unique sites:
1 Li 0.0000 0.0000 0.0000 [4 per cell]  4 Pa 3.07
2 Pa 0.2500 0.2500 0.2500 [4 per cell]  4 Sb 3.07, 4 Li 3.07
3 Sb 0.0000 0.0000 0.5000 [4 per cell]  4 Pa 3.07

## Properties
For the size of the total moment, the calculation gives 7.6 μB per cell.


<ii>
VASP calculation (PBE-GGA) on a geometry-optimized LiPaSb structure.

abc: 6.4778 6.4778 6.4778
angles: 90.00 90.00 90.00
With the nearest neighbours (Å) after each atom.
Space group F-43m (No. 216)
Unique sites:
1 Li 0.0000 0.0000 0.0000 [4 per cell]  4 Sb 2.80, 4 Pa 2.80
2 Pa 0.2500 0.2500 0.7500 [4 per cell]  4 Li 2.80
3 Sb 0.2500 0.2500 0.2500 [4 per cell]  4 Li 2.80

## Properties
For the size of the total moment, the calculation gives 5.3 μB per cell.


Tell me which of them is the most stable. Sure, it is <ii>.


<i>
VASP calculation (PBE-GGA) on a geometry-optimized LiScPa structure.

abc: 6.6452 6.6452 6.6452
angles: 90.00 90.00 90.00
With the nearest neighbours (Å) after each atom.
Space group F-43m (No. 216)
Unique sites:
1 Li 0.0000 0.0000 0.0000 [4 per cell]  4 Pa 2.88, 4 Sc 2.88
2 Sc 0.2500 0.2500 0.2500 [4 per cell]  4 Li 2.88
3 Pa 0.2500 0.2500 0.7500 [4 per cell]  4 Li 2.88

## Properties
For the size of the total moment, the calculation gives 7.4 μB per cell.


<ii>
VASP calculation (PBE-GGA) on a geometry-optimized LiScPa structure.

abc: 6.6998 6.6998 6.6998
angles: 90.00 90.00 90.00
With the nearest neighbours (Å) after each atom.
Space group F-43m (No. 216)
Unique sites:
1 Li 0.0000 0.0000 0.0000 [4 per cell]  4 Pa 2.90
2 Sc 0.0000 0.0000 0.5000 [4 per cell]  4 Pa 2.90
3 Pa 0.2500 0.2500 0.2500 [4 per cell]  4 Li 2.90, 4 Sc 2.90

## Properties
For the size of the total moment, the calculation gives 4.2 μB per cell.


Tell me which of them is the most stable. Sure, it is <i>.


<i>
VASP calculation (PBE-GGA) on a geometry-optimized LiPaSi structure.

abc: 6.4316 6.4316 6.4316
angles: 90.00 90.00 90.00
With the nearest neighbours (Å) after each atom.
Space group F-43m (No. 216)
Unique sites:
1 Li 0.0000 0.0000 0.0000 [4 per cell]  4 Si 2.78
2 Pa 0.0000 0.0000 0.5000 [4 per cell]  4 Si 2.78
3 Si 0.2500 0.2500 0.2500 [4 per cell]  4 Li 2.78, 4 Pa 2.78

## Properties
For the size of the total moment, the calculation gives 0.6 μB per cell.


<ii>
VASP calculation (PBE-GGA) on a geometry-optimized LiPaSi structure.

abc: 6.0963 6.0963 6.0963
angles: 90.00 90.00 90.00
With the nearest neighbours (Å) after each atom.
Space group F-43m (No. 216)
Unique sites:
1 Li 0.0000 0.0000 0.0000 [4 per cell]  4 Pa 2.64, 4 Si 2.64
2 Pa 0.2500 0.2500 0.7500 [4 per cell]  4 Li 2.64
3 Si 0.2500 0.2500 0.2500 [4 per cell]  4 Li 2.64

## Properties
For the size of the total moment, the calculation gives 0.2 μB per cell.


Tell me which of them is the most stable. Sure, it is <i>.